# NaCaDySeO6 | the Alexandria database | PBE-GGA | optimized geometry
data_NaCaDySeO6
_symmetry_space_group_name_H-M 'F -4 3 m'
_symmetry_Int_Tables_number 216
_symmetry_space_group_name_Hall 'F -4 2 3'
_cell_length_a 7.988
_cell_length_b 7.988
_cell_length_c 7.988
_cell_angle_alpha 90.00
_cell_angle_beta 90.00
_cell_angle_gamma 90.00
loop_
_atom_site_label
_atom_site_type_symbol
_atom_site_fract_x
_atom_site_fract_y
_atom_site_fract_z
Na1 Na 0.000 0.000 0.000
Ca1 Ca 0.000 0.000 0.500
Dy1 Dy 0.250 0.250 0.750
Se1 Se 0.250 0.250 0.250
O1 O 0.023 0.250 0.250
# Formation energy from raw total energies, eV/f.u.: -19.81
# Raw total energy, Ha/atom: -0.2240
# D(E_F), states/eV per cell: 0.00